An optimized crystal structure of TaTePb. Source: Alexandria, functional PBE.

CIF file:
```
data_TaTePb
_chemical_formula_sum 'Ta2 Te2 Pb2'
_symmetry_space_group_name_H-M 'I 4 m m'
_symmetry_Int_Tables_number 107
_symmetry_space_group_name_Hall 'I 4 -2'
_cell_length_a 3.352
_cell_length_b 3.352
_cell_length_c 14.338
_cell_angle_alpha 90.00
_cell_angle_beta 90.00
_cell_angle_gamma 90.00
loop_
_atom_site_label
_atom_site_type_symbol
_atom_site_fract_x
_atom_site_fract_y
_atom_site_fract_z
_atom_site_occupancy
Ta1 Ta 0.000 0.000 0.000 1
Te1 Te 0.000 0.000 0.608 1
Pb1 Pb 0.000 0.000 0.343 1
```

Results
energy relative to the elements, uncorrected = 45 kJ/mol of formula units
E_tot = -36.48 eV per cell
mass density = 10630 kg/m³
relative energy among the computed polymorphs = 92 meV/atom
crystal system = tetragonal

An optimized crystal structure of TaTe2Pb. Source: Alexandria, functional PBE.

CIF file:
```
data_TaTe2Pb
_chemical_formula_sum 'Ta2 Te4 Pb2'
_symmetry_space_group_name_H-M 'I -4 m 2'
_symmetry_Int_Tables_number 119
_symmetry_space_group_name_Hall 'I -4 -2'
_cell_length_a 4.554
_cell_length_b 4.554
_cell_length_c 9.855
_cell_angle_alpha 90.00
_cell_angle_beta 90.00
_cell_angle_gamma 90.00
loop_
_atom_site_label
_atom_site_type_symbol
_atom_site_fract_x
_atom_site_fract_y
_atom_site_fract_z
_atom_site_occupancy
Ta1 Ta 0.000 0.000 0.000 1
Te1 Te 0.000 0.000 0.500 1
Te2 Te 0.000 0.500 0.750 1
Pb1 Pb 0.000 0.500 0.250 1
```

Results
energy relative to the elements, uncorrected = 239 kJ/mol of formula units
E_tot = -38.73 eV per cell
mass density = 10454 kg/m³
crystal system = tetragonal

An optimized crystal structure of TaTe2Pb. Source: Alexandria, functional PBE.

CIF file:
```
data_TaTe2Pb
_chemical_formula_sum 'Ta1 Te2 Pb1'
_symmetry_space_group_name_H-M 'P 4/m m m'
_symmetry_Int_Tables_number 123
_symmetry_space_group_name_Hall '-P 4 2'
_cell_length_a 5.351
_cell_length_b 5.351
_cell_length_c 3.526
_cell_angle_alpha 90.00
_cell_angle_beta 90.00
_cell_angle_gamma 90.00
loop_
_atom_site_label
_atom_site_type_symbol
_atom_site_fract_x
_atom_site_fract_y
_atom_site_fract_z
_atom_site_occupancy
Ta1 Ta 0.000 0.000 0.000 1
Te1 Te 0.000 0.500 0.500 1
Pb1 Pb 0.500 0.500 0.000 1
```

Results
energy relative to the elements, uncorrected = 178 kJ/mol of formula units
E_tot = -20.00 eV per cell
mass density = 10581 kg/m³
crystal system = tetragonal

An optimized crystal structure of Ta3TePb. Source: Alexandria, functional PBE.

CIF file:
```
data_Ta3TePb
_chemical_formula_sum 'Ta3 Te1 Pb1'
_symmetry_space_group_name_H-M 'P m -3 m'
_symmetry_Int_Tables_number 221
_symmetry_space_group_name_Hall '-P 4 2 3'
_cell_length_a 5.051
_cell_length_b 5.051
_cell_length_c 5.051
_cell_angle_alpha 90.00
_cell_angle_beta 90.00
_cell_angle_gamma 90.00
loop_
_atom_site_label
_atom_site_type_symbol
_atom_site_fract_x
_atom_site_fract_y
_atom_site_fract_z
_atom_site_occupancy
Ta1 Ta 0.000 0.000 0.500 1
Te1 Te 0.000 0.000 0.000 1
Pb1 Pb 0.500 0.500 0.500 1
```

Results
energy relative to the elements, uncorrected = 812 kJ/mol of formula units
E_tot = -33.99 eV per cell
mass density = 11307 kg/m³
relative energy among the computed polymorphs = 0 meV/atom
crystal system = cubic

An optimized crystal structure of TaTe2Pb. Source: Alexandria, functional PBE.

CIF file:
```
data_TaTe2Pb
_chemical_formula_sum 'Ta1 Te2 Pb1'
_symmetry_space_group_name_H-M 'P 4 m m'
_symmetry_Int_Tables_number 99
_symmetry_space_group_name_Hall 'P 4 -2'
_cell_length_a 3.368
_cell_length_b 3.368
_cell_length_c 9.647
_cell_angle_alpha 90.00
_cell_angle_beta 90.00
_cell_angle_gamma 90.00
loop_
_atom_site_label
_atom_site_type_symbol
_atom_site_fract_x
_atom_site_fract_y
_atom_site_fract_z
_atom_site_occupancy
Ta1 Ta 0.000 0.000 0.000 1
Te1 Te 0.000 0.000 0.483 1
Te2 Te 0.500 0.500 0.157 1
Pb1 Pb 0.500 0.500 0.772 1
```

Results
energy relative to the elements, uncorrected = 67 kJ/mol of formula units
E_tot = -21.15 eV per cell
mass density = 9760 kg/m³
crystal system = tetragonal

An optimized crystal structure of TaTePb. Source: Alexandria, functional PBE.

CIF file:
```
data_TaTePb
_chemical_formula_sum 'Ta4 Te4 Pb4'
_symmetry_space_group_name_H-M 'F -4 3 m'
_symmetry_Int_Tables_number 216
_symmetry_space_group_name_Hall 'F -4 2 3'
_cell_length_a 6.899
_cell_length_b 6.899
_cell_length_c 6.899
_cell_angle_alpha 90.00
_cell_angle_beta 90.00
_cell_angle_gamma 90.00
loop_
_atom_site_label
_atom_site_type_symbol
_atom_site_fract_x
_atom_site_fract_y
_atom_site_fract_z
_atom_site_occupancy
Ta1 Ta 0.000 0.000 0.000 1
Te1 Te 0.250 0.250 0.250 1
Pb1 Pb 0.250 0.250 0.750 1
```

Results
energy relative to the elements, uncorrected = 175 kJ/mol of formula units
E_tot = -67.55 eV per cell
mass density = 10431 kg/m³
relative energy among the computed polymorphs = 542 meV/atom
crystal system = cubic

An optimized crystal structure of TaTe2Pb. Source: Alexandria, functional PBE.

CIF file:
```
data_TaTe2Pb
_chemical_formula_sum 'Ta1 Te2 Pb1'
_symmetry_space_group_name_H-M 'P 4/m m m'
_symmetry_Int_Tables_number 123
_symmetry_space_group_name_Hall '-P 4 2'
_cell_length_a 3.492
_cell_length_b 3.492
_cell_length_c 8.282
_cell_angle_alpha 90.00
_cell_angle_beta 90.00
_cell_angle_gamma 90.00
loop_
_atom_site_label
_atom_site_type_symbol
_atom_site_fract_x
_atom_site_fract_y
_atom_site_fract_z
_atom_site_occupancy
Ta1 Ta 0.000 0.000 0.000 1
Te1 Te 0.500 0.500 0.196 1
Pb1 Pb 0.000 0.000 0.500 1
```

Results
energy relative to the elements, uncorrected = -23 kJ/mol of formula units
E_tot = -22.08 eV per cell
mass density = 10576 kg/m³
crystal system = tetragonal

An optimized crystal structure of TaTe2Pb. Source: Alexandria, functional PBE.

CIF file:
```
data_TaTe2Pb
_chemical_formula_sum 'Ta2 Te4 Pb2'
_symmetry_space_group_name_H-M 'C m m m'
_symmetry_Int_Tables_number 65
_symmetry_space_group_name_Hall '-C 2 2'
_cell_length_a 3.674
_cell_length_b 5.562
_cell_length_c 10.680
_cell_angle_alpha 90.00
_cell_angle_beta 90.00
_cell_angle_gamma 90.00
loop_
_atom_site_label
_atom_site_type_symbol
_atom_site_fract_x
_atom_site_fract_y
_atom_site_fract_z
_atom_site_occupancy
Ta1 Ta 0.000 0.000 0.000 1
Te1 Te 0.000 0.500 0.200 1
Pb1 Pb 0.000 0.000 0.500 1
```

Results
energy relative to the elements, uncorrected = 79 kJ/mol of formula units
E_tot = -42.05 eV per cell
mass density = 9790 kg/m³
crystal system = orthorhombic

Which formula does entry 4 have? Ta3TePb

Which value of mass density does entry 7 give? 10576 kg/m³